No. 1
VASP calculation (PBE-GGA) on a geometry-optimized TlOs4 structure.

Cell: 4.8893 4.8893 4.8893 Å, 99.31 99.31 132.58°
With the nearest neighbours (Å) after each atom.
Fractional coordinates of all 5 atoms:
Tl (0.0000, 0.0000, 0.0000)  12 Os 2.81-2.87
Os (0.1850, 0.4033, 0.5883)  9 Os 2.64-2.95, 3 Tl 2.81-2.87
Os (0.4033, 0.8150, 0.2183)  9 Os 2.64-2.95, 3 Tl 2.81-2.87
Os (0.5967, 0.1850, 0.7817)  9 Os 2.64-2.95, 3 Tl 2.81-2.87
Os (0.8150, 0.5967, 0.4117)  9 Os 2.64-2.95, 3 Tl 2.81-2.87

=====

No. 2
VASP calculation (PBE-GGA) on a geometry-optimized Tl2Os structure.

Cell: 5.7025 5.7025 10.8424 Å, 90.00 90.00 120.00°
With the nearest neighbours (Å) after each atom.
Fractional coordinates of all 12 atoms:
Tl (0.0000, 0.0000, 0.0000)  6 Tl 3.18, 6 Os 3.31
Tl (0.0000, 0.0000, 0.5000)  6 Tl 3.18, 6 Os 3.31
Tl (0.1680, 0.3360, 0.2500)  4 Tl 2.83-2.87, 2 Os 2.85
Tl (0.1680, 0.8320, 0.2500)  4 Tl 2.83-2.87, 2 Os 2.85
Tl (0.3360, 0.1680, 0.7500)  4 Tl 2.83-2.87, 2 Os 2.85
Tl (0.6640, 0.8320, 0.2500)  4 Tl 2.83-2.87, 2 Os 2.85
Tl (0.8320, 0.1680, 0.7500)  4 Tl 2.83-2.87, 2 Os 2.85
Tl (0.8320, 0.6640, 0.7500)  4 Tl 2.83-2.87, 2 Os 2.85
Os (0.3333, 0.6667, 0.0344)  3 Tl 2.85
Os (0.3333, 0.6667, 0.4656)  3 Tl 2.85
Os (0.6667, 0.3333, 0.5344)  3 Tl 2.85
Os (0.6667, 0.3333, 0.9656)  3 Tl 2.85

=====

No. 3
VASP calculation (PBE-GGA) on a geometry-optimized Tl3Os structure.

Cell: 4.0544 6.1170 8.0470 Å, 90.00 90.00 90.00°
With the nearest neighbours (Å) after each atom.
Fractional coordinates of all 8 atoms:
Tl (0.2500, 0.0092, 0.1600)  2 Os 2.80, 1 Tl 2.95
Tl (0.2500, 0.4908, 0.1600)  2 Os 2.80, 1 Tl 2.95
Tl (0.2500, 0.7500, 0.5475)  2 Os 2.85
Tl (0.7500, 0.2500, 0.4525)  2 Os 2.85
Tl (0.7500, 0.5092, 0.8400)  2 Os 2.80, 1 Tl 2.95
Tl (0.7500, 0.9908, 0.8400)  2 Os 2.80, 1 Tl 2.95
Os (0.2500, 0.2500, 0.7022)  6 Tl 2.80-2.85
Os (0.7500, 0.7500, 0.2978)  6 Tl 2.80-2.85

=====

No. 4
VASP calculation (PBE-GGA) on a geometry-optimized Tl3Os structure.

Cell: 4.5483 4.5483 4.5483 Å, 90.00 90.00 90.00°
With the nearest neighbours (Å) after each atom.
Fractional coordinates of all 4 atoms:
Tl (0.0000, 0.0000, 0.5000)  8 Tl 3.22, 4 Os 3.22
Tl (0.0000, 0.5000, 0.0000)  8 Tl 3.22, 4 Os 3.22
Tl (0.5000, 0.0000, 0.0000)  8 Tl 3.22, 4 Os 3.22
Os (0.5000, 0.5000, 0.5000)  12 Tl 3.22

=====

No. 5
VASP calculation (PBE-GGA) on a geometry-optimized TlOs4 structure.

Cell: 5.2557 5.2557 6.2978 Å, 90.00 90.00 90.00°
With the nearest neighbours (Å) after each atom.
Fractional coordinates of all 10 atoms:
Tl (0.2500, 0.7500, 0.2500)  12 Os 2.74-3.00
Tl (0.7500, 0.2500, 0.7500)  12 Os 2.74-3.00
Os (0.0213, 0.2500, 0.1215)  3 Os 2.40-2.59
Os (0.2500, 0.0213, 0.6215)  3 Os 2.40-2.59
Os (0.2500, 0.4787, 0.6215)  3 Os 2.40-2.59
Os (0.4787, 0.2500, 0.1215)  3 Os 2.40-2.59
Os (0.5213, 0.7500, 0.8785)  3 Os 2.40-2.59
Os (0.7500, 0.5213, 0.3785)  3 Os 2.40-2.59
Os (0.7500, 0.9787, 0.3785)  3 Os 2.40-2.59
Os (0.9787, 0.7500, 0.8785)  3 Os 2.40-2.59

=====

No. 6
VASP calculation (PBE-GGA) on a geometry-optimized TlOs structure.

Cell: 2.9339 2.9339 11.2329 Å, 90.00 90.00 120.00°
With the nearest neighbours (Å) after each atom.
Fractional coordinates of all 4 atoms:
Tl (0.3333, 0.6667, 0.1697)  6 Tl 2.93, 3 Os 3.20
Tl (0.6667, 0.3333, 0.8303)  6 Tl 2.93, 3 Os 3.20
Os (0.3333, 0.6667, 0.5881)  3 Os 2.61
Os (0.6667, 0.3333, 0.4119)  3 Os 2.61

=====

no.,VASP energy (eV/atom),ΔH_f (0 K) (eV per atom)
1,-8.6862,0.771
2,-3.7065,1.614
3,-3.7790,0.803
4,-3.5312,1.051
5,-8.2204,1.237
6,-6.0168,0.781